## Zr3CoNi2 (PBE)

Data for Zr3CoNi2 after structural relaxation.

Geometry as POSCAR:
```
Zr3CoNi2
1.0
-0.3491 -3.9338 -1.4388
8.6822 0.0902 -2.3530
2.6720 -3.7899 9.7139
Zr Ni Co
12 8 4
direct
0.2500 0.0794 0.8952 Zr
0.7500 0.1992 0.2681 Zr
0.2500 0.6992 0.2319 Zr
0.2500 0.1172 0.5592 Zr
0.7500 0.8828 0.4408 Zr
0.2500 0.3828 0.0592 Zr
0.7500 0.3008 0.7681 Zr
0.7500 0.9206 0.1048 Zr
0.7500 0.6172 0.9408 Zr
0.2500 0.8008 0.7319 Zr
0.2500 0.4206 0.3952 Zr
0.7500 0.5794 0.6048 Zr
0.2500 0.9802 0.3219 Ni
0.7500 0.4802 0.1781 Ni
0.2500 0.7100 0.4867 Ni
0.7500 0.2100 0.0133 Ni
0.7500 0.0198 0.6781 Ni
0.2500 0.7900 0.9867 Ni
0.2500 0.5198 0.8219 Ni
0.7500 0.2900 0.5133 Ni
0.2500 0.3906 0.6363 Co
0.7500 0.8906 0.8637 Co
0.2500 0.1094 0.1363 Co
0.7500 0.6094 0.3637 Co
```

Values from the calculation:
For the uncorrected energy, the calculation gives -7.701 eV per atom. Its total moment is 0.0 μB/f.u. The space group is No. 62.